The following is a PBE calculation of LiSmY2 after structural relaxation, from Alexandria.

Computed properties:
As for the distance to the lowest polymorph of the same formula: 101.5 meV/atom. For the formation energy, the calculation gives 165 meV/atom. The value obtained for the total energy is -4.72 eV per atom.

a b c (Å): 5.6882 5.6882 3.7173
angles (deg): 90.00 90.00 90.00
Space group P4/mmm (No. 123)
Unique sites:
Li: 0.0000 0.0000 0.0000 [1 per cell]
Sm: 0.5000 0.5000 0.0000 [1 per cell]
Y: 0.0000 0.5000 0.5000 [2 per cell]



The following is a PBE calculation of TbTh3Sn5 after structural relaxation, from Alexandria.

Computed properties:
For the formation energy, the calculation gives -586 meV/atom. The value obtained for the total energy is -5.80 eV per atom.

a b c (Å): 9.5885 9.5885 6.4418
angles (deg): 90.00 90.00 120.00
Space group P6_3/mcm (No. 193)
Unique sites:
Tb: 0.0000 0.0000 0.0000 [2 per cell]
Th: 0.0000 0.3833 0.2500 [6 per cell]
Sn: 0.0000 0.2787 0.7500 [6 per cell]
Sn: 0.3333 0.6667 0.0000 [4 per cell]



The following is a PBE calculation of MgCoRe after structural relaxation, from Alexandria.

Computed properties:
As for the distance to the lowest polymorph of the same formula: 162.6 meV/atom. For the formation energy, the calculation gives 226 meV/atom. The value obtained for the total energy is -6.82 eV per atom.

a b c (Å): 8.5374 4.0235 5.3494
angles (deg): 90.00 109.84 90.00
Space group Cm (No. 8)
Unique sites:
Mg: 0.0000 0.0000 0.0000 [2 per cell]
Mg: 0.1605 0.5000 0.8386 [2 per cell]
Co: 0.3527 0.0000 0.1627 [2 per cell]
Co: 0.4953 0.5000 0.4814 [2 per cell]
Re: 0.1814 0.5000 0.3563 [2 per cell]
Re: 0.3092 0.0000 0.6110 [2 per cell]



The following is a PBE calculation of BC2 after structural relaxation, from Alexandria.

Computed properties:
As for the distance to the lowest polymorph of the same formula: 39.9 meV/atom. For the formation energy, the calculation gives 280 meV/atom. The value obtained for the total energy is -8.10 eV per atom.

a b c (Å): 2.4652 2.5415 12.1913
angles (deg): 90.00 90.00 90.00
Space group Imma (No. 74)
Unique sites:
B: 0.0000 0.2500 0.1947 [4 per cell]
C: 0.0000 0.2500 0.5389 [4 per cell]
C: 0.0000 0.2500 0.8901 [4 per cell]



The following is a PBE calculation of TaNiP after structural relaxation, from Alexandria.

Computed properties:
For the formation energy, the calculation gives -683 meV/atom. The value obtained for the total energy is -8.36 eV per atom.

a b c (Å): 3.6766 3.6766 3.4546
angles (deg): 90.00 90.00 120.00
Space group P-6m2 (No. 187)
Unique sites:
Ta: 0.0000 0.0000 0.0000 [1 per cell]
Ni: 0.6667 0.3333 0.5000 [1 per cell]
P: 0.3333 0.6667 0.5000 [1 per cell]



The following is a PBE calculation of Na2SnSb after structural relaxation, from Alexandria.

Computed properties:
For the uncorrected formation energy, the calculation gives -259 meV/atom. The value obtained for the total energy is -2.95 eV per atom.

a b c (Å): 4.6862 4.6862 4.8238
angles (deg): 90.00 90.00 90.00
Space group P4/mmm (No. 123)
Unique sites:
Na: 0.0000 0.5000 0.0000 [2 per cell]
Sn: 0.0000 0.0000 0.5000 [1 per cell]
Sb: 0.5000 0.5000 0.5000 [1 per cell]



The following is a PBE calculation of PmSmEr2Tm2 after structural relaxation, from Alexandria.

Computed properties:
For the formation energy, the calculation gives 285 meV/atom. The value obtained for the total energy is -4.31 eV per atom.

a b c (Å): 6.5429 17.6407 3.3814
angles (deg): 90.00 90.00 90.00
Space group Pnnm (No. 58)
Unique sites:
Pm: 0.0000 0.0000 0.0000 [2 per cell]
Sm: 0.0000 0.5000 0.0000 [2 per cell]
Er: 0.2279 0.1845 0.0000 [4 per cell]
Tm: 0.2264 0.3501 0.5000 [4 per cell]



The following is a PBE calculation of BaFe2Ru after structural relaxation, from Alexandria.

Computed properties:
For the formation energy, the calculation gives 1056 meV/atom. The value obtained for the total energy is -5.97 eV per atom.

a b c (Å): 4.7298 4.7298 3.2132
angles (deg): 90.00 90.00 90.00
Space group P4/mmm (No. 123)
Unique sites:
Ba: 0.0000 0.0000 0.0000 [1 per cell]
Fe: 0.0000 0.5000 0.5000 [2 per cell]
Ru: 0.5000 0.5000 0.0000 [1 per cell]



For each record above, in turn, the calculated total magnetization values are 0.0; 0.0; 0.0; 0.0; 0.0; 0.0; 0.0; 6.0 μB/f.u..
For each record above, in turn, the calculated Fermi-level density of states values are 1.5507; 0.9005; 0.8618; 0.1845; 0.1085; 0.3342; 1.5055; 0.9673 states/eV/atom.